! PBE CaGdPt2, relaxed; values from VASP
! - E above lowest polymorph: 0.000 eV per atom
! - ΔH_f (0 K): -1.0757 eV per atom
&SYSTEM
  ibrav = 0, nat = 4, ntyp = 3
/
ATOMIC_SPECIES
Ca 40.08 Ca.upf
Gd 157.25 Gd.upf
Pt 195.08 Pt.upf
CELL_PARAMETERS angstrom
3.508 0.000 0.000
0.000 3.508 0.000
0.000 0.000 7.057
ATOMIC_POSITIONS crystal
Ca 0.000 0.000 0.000
Gd 0.000 0.000 0.500
Pt 0.500 0.500 0.264
Pt 0.500 0.500 0.736